A geometry-optimized BeCo2NiGe structure, computed with PBE.

Structure (POSCAR):
```
BeCo2NiGe
1.0
4.337 0.000 0.000
0.000 4.261 0.000
0.000 0.000 4.337
Ge Ni Co Be
1 1 2 1
Direct
0.000 0.500 0.000
0.000 0.000 0.000
0.000 0.000 0.500
0.500 0.000 0.000
0.500 0.500 0.500
```

Results
- DFT formation energy (eV/f.u.) = 5.4
- magnetization (μB/atom) = 0.8563
- VASP energy (eV/atom) = -4.593

***

A geometry-optimized Np2BeCo3Ge4 structure, computed with PBE.

Structure (POSCAR):
```
Np2BeCo3Ge4
1.0
4.040 0.000 0.000
0.000 4.040 0.000
0.000 0.000 9.610
Np Ge Co Be
2 4 3 1
Direct
0.500 0.000 0.253
0.000 0.500 0.747
0.500 0.000 0.630
0.000 0.500 0.370
0.500 0.500 0.000
0.000 0.000 0.000
0.000 0.000 0.500
0.000 0.500 0.129
0.500 0.000 0.871
0.500 0.500 0.500
```

Results
- DFT formation energy (eV/f.u.) = -2.4
- magnetization (μB/atom) = 0.6012
- VASP energy (eV/atom) = -7.178

***

A geometry-optimized Np2Be3CoGe4 structure, computed with PBE.

Structure (POSCAR):
```
Np2Be3CoGe4
1.0
4.033 0.000 0.000
0.000 4.033 0.000
0.000 0.000 9.466
Ge Be Np Co
4 3 2 1
Direct
0.500 0.500 0.000
0.000 0.500 0.369
0.500 0.000 0.631
0.000 0.000 0.000
0.500 0.000 0.868
0.000 0.000 0.500
0.000 0.500 0.132
0.000 0.500 0.745
0.500 0.000 0.255
0.500 0.500 0.500
```

Results
- DFT formation energy (eV/f.u.) = -1.5
- magnetization (μB/atom) = 0.7075
- VASP energy (eV/atom) = -6.418

***

A geometry-optimized NpBeCoGe2 structure, computed with PBE.

Structure (POSCAR):
```
NpBeCoGe2
1.0
-1.226 -3.663 0.868
0.078 -0.938 -3.846
5.327 0.819 1.947
Be Np Ge Co
1 1 2 1
Direct
0.250 0.750 0.500
0.000 0.000 0.000
0.626 0.626 0.253
0.374 0.374 0.747
0.750 0.250 0.500
```

Results
- DFT formation energy (eV/f.u.) = -1.0
- magnetization (μB/atom) = 0.6321
- VASP energy (eV/atom) = -6.798

***

Question: Which of these has the highest DFT formation energy?
Answer: BeCo2NiGe

***

Question: Look up the VASP energy of the fourth one.
Answer: -6.798 eV/atom

***

Question: What is the formula in the first record?
Answer: BeCo2NiGe

***

Copy entry 3 word for word.
A geometry-optimized Np2Be3CoGe4 structure, computed with PBE.

Structure (POSCAR):
```
Np2Be3CoGe4
1.0
4.033 0.000 0.000
0.000 4.033 0.000
0.000 0.000 9.466
Ge Be Np Co
4 3 2 1
Direct
0.500 0.500 0.000
0.000 0.500 0.369
0.500 0.000 0.631
0.000 0.000 0.000
0.500 0.000 0.868
0.000 0.000 0.500
0.000 0.500 0.132
0.000 0.500 0.745
0.500 0.000 0.255
0.500 0.500 0.500
```

Results
- DFT formation energy (eV/f.u.) = -1.5
- magnetization (μB/atom) = 0.7075
- VASP energy (eV/atom) = -6.418